(1)
A geometry-optimized TmAgSbPd structure, computed with PBE-GGA.

Crystal system   cubic
Formation energy without anion corrections   -0.550 eV/atom
V   81.9 Å³/cell
Total moment   0.00 μB/atom
Space-group type   No. 216
Electronic total energy   -4.709 eV/atom
Calculated density   10235 kg/m³

Structure (extended XYZ):
```
4
Lattice="4.8751 0.0000 0.0000 2.4376 4.2220 0.0000 2.4376 1.4073 3.9805" Properties=species:S:1:pos:R:3 pbc="T T T"
Tm 0.0000 0.0000 0.0000
Ag 2.4376 1.4073 0.9951
Sb 4.8751 2.8147 1.9903
Pd 7.3127 4.2220 2.9854
```

(2)
A geometry-optimized ZnPtAu2 structure, computed with PBE-GGA.

Crystal system   tetragonal
V   66.2 Å³/cell
Total moment   0.00 μB/atom
Space-group type   No. 139
Electronic total energy   -3.615 eV/atom
Calculated density   16419 kg/m³
E_form   -14 kJ per mole of atoms

Structure (extended XYZ):
```
4
Lattice="-4.2375 2.0617 1.5144 -3.3871 -3.5412 0.6989 4.6548 0.4713 1.6161" Properties=species:S:1:pos:R:3 pbc="T T T"
Au -3.8123 -0.7397 1.1066
Au 0.0000 0.0000 0.0000
Pt -1.2723 -1.9048 1.7108
Zn -1.6975 0.8966 2.1186
```